Entry 1:
A geometry-optimized AgPbO2F structure, computed with GGA-PBE.

```
AgPbO2F
1.0
4.1601 0.0000 0.0000
0.0000 4.1601 0.0000
0.0000 0.0000 4.2863
Ag Pb O F
1 1 2 1
direct
0.0000 0.0000 0.0000
0.5000 0.5000 0.5000
0.0000 0.5000 0.0000
0.5000 0.0000 0.0000
0.0000 0.0000 0.5000
```

Computed properties:
- symmetry = P4/mmm, No. 123

Entry 2:
A geometry-optimized AgPdO2F structure, computed with GGA-PBE.

```
AgPdO2F
1.0
4.1162 0.0000 0.0000
0.0000 4.1162 0.0000
0.0000 0.0000 4.1412
Ag Pd O F
1 1 2 1
direct
0.0000 0.0000 0.0000
0.5000 0.5000 0.5000
0.0000 0.5000 0.0000
0.5000 0.0000 0.0000
0.0000 0.0000 0.5000
```

Computed properties:
- symmetry = P4/mmm, No. 123

Entry 3:
A geometry-optimized AgPdO2F structure, computed with GGA-PBE.

```
AgPdO2F
1.0
3.9331 0.0000 0.0000
0.0000 3.9331 0.0000
0.0000 0.0000 4.4316
Ag Pd O F
1 1 2 1
direct
0.0000 0.0000 0.0000
0.5000 0.5000 0.5000
0.0000 0.5000 0.5000
0.5000 0.0000 0.5000
0.5000 0.5000 0.0000
```

Computed properties:
- symmetry = P4/mmm, No. 123

Entry 4:
A geometry-optimized Pr2AgO2F2 structure, computed with GGA-PBE.

```
Pr2AgO2F2
1.0
3.9136 0.0000 0.0000
-1.9568 3.3892 0.0000
0.0000 0.0000 11.0889
Pr Ag O F
2 1 2 2
direct
0.3333 0.6667 0.1378
0.6667 0.3333 0.8622
0.0000 0.0000 0.5000
0.3333 0.6667 0.9227
0.6667 0.3333 0.0773
0.0000 0.0000 0.2402
0.0000 0.0000 0.7598
```

Computed properties:
- symmetry = P-3m1, No. 164

Entry 5:
A geometry-optimized AgPtOF2 structure, computed with GGA-PBE.

```
AgPtOF2
1.0
4.1528 0.0000 0.0000
0.0000 4.1528 0.0000
0.0000 0.0000 4.3076
Ag Pt O F
1 1 1 2
direct
0.0000 0.0000 0.0000
0.5000 0.5000 0.5000
0.0000 0.0000 0.5000
0.0000 0.5000 0.0000
0.5000 0.0000 0.0000
```

Computed properties:
- symmetry = P4/mmm, No. 123
- relative energy among the computed polymorphs (meV/atom) = 764

Entry 6:
A geometry-optimized AgPtO2F structure, computed with GGA-PBE.

```
AgPtO2F
1.0
4.1455 0.0000 0.0000
0.0000 4.1455 0.0000
0.0000 0.0000 4.0633
Ag Pt O F
1 1 2 1
direct
0.0000 0.0000 0.0000
0.5000 0.5000 0.5000
0.0000 0.5000 0.0000
0.5000 0.0000 0.0000
0.0000 0.0000 0.5000
```

Computed properties:
- symmetry = P4/mmm, No. 123

Entry 7:
A geometry-optimized AgPtOF2 structure, computed with GGA-PBE.

```
AgPtOF2
1.0
4.4420 0.0000 0.0000
0.0000 4.4420 0.0000
0.0000 0.0000 3.8060
Ag Pt O F
1 1 1 2
direct
0.0000 0.0000 0.0000
0.5000 0.5000 0.5000
0.5000 0.5000 0.0000
0.0000 0.5000 0.5000
0.5000 0.0000 0.5000
```

Computed properties:
- symmetry = P4/mmm, No. 123
- relative energy among the computed polymorphs (meV/atom) = 0

Entry 8:
A geometry-optimized AgPtO2F structure, computed with GGA-PBE.

```
AgPtO2F
1.0
3.7278 0.0000 0.0000
0.0000 3.7278 0.0000
0.0000 0.0000 6.2181
Ag Pt O F
1 1 2 1
direct
0.0000 0.0000 0.0000
0.5000 0.5000 0.5000
0.0000 0.5000 0.5000
0.5000 0.0000 0.5000
0.5000 0.5000 0.0000
```

Computed properties:
- symmetry = P4/mmm, No. 123

Entry 9:
A geometry-optimized PuAg2O3F3 structure, computed with GGA-PBE.

```
PuAg2O3F3
1.0
6.2313 0.0000 0.0000
-3.1156 5.3964 0.0000
0.0000 0.0000 3.3301
Pu Ag O F
1 2 3 3
direct
0.0000 0.0000 0.0000
0.3333 0.6667 0.5000
0.6667 0.3333 0.5000
0.0000 0.2308 0.5000
0.2308 0.0000 0.5000
0.7692 0.7692 0.5000
0.0000 0.6138 0.0000
0.3862 0.3862 0.0000
0.6138 0.0000 0.0000
```

Computed properties:
- symmetry = P-62m, No. 189

Entry 10:
A geometry-optimized PuAg2O2F4 structure, computed with GGA-PBE.

```
PuAg2O2F4
1.0
5.1643 -3.1602 0.0000
5.1643 3.1602 0.0000
-1.5496 0.0000 4.3913
Pu Ag O F
1 2 2 4
direct
0.0000 0.0000 0.0000
0.3766 0.3766 0.6079
0.6234 0.6234 0.3921
0.1506 0.1506 0.3468
0.8494 0.8494 0.6532
0.1839 0.6442 0.1729
0.3558 0.8161 0.8271
0.6442 0.1839 0.1729
0.8161 0.3558 0.8271
```

Computed properties:
- symmetry = C2/m, No. 12

Entry 11:
A geometry-optimized RbAgOF2 structure, computed with GGA-PBE.

```
RbAgOF2
1.0
4.9845 0.0000 0.0000
0.0000 4.9845 0.0000
0.0000 0.0000 4.4950
Rb Ag O F
1 1 1 2
direct
0.0000 0.0000 0.0000
0.5000 0.5000 0.5000
0.0000 0.0000 0.5000
0.0000 0.5000 0.0000
0.5000 0.0000 0.0000
```

Computed properties:
- symmetry = P4/mmm, No. 123
- relative energy among the computed polymorphs (meV/atom) = 1012

Entry 12:
A geometry-optimized Rb2AgOF6 structure, computed with GGA-PBE.

```
Rb2AgOF6
1.0
-2.8870 2.8870 4.9068
2.8870 -2.8870 4.9068
2.8870 2.8870 -4.9068
Rb Ag O F
2 1 1 6
direct
0.2500 0.7500 0.5000
0.7500 0.2500 0.5000
0.0000 0.0000 0.0000
0.5000 0.5000 0.0000
0.2061 0.2061 0.0000
0.2734 0.2734 0.5468
0.2734 0.7266 0.0000
0.7266 0.2734 0.0000
0.7266 0.7266 0.4532
0.7939 0.7939 0.0000
```

Computed properties:
- symmetry = I4/mmm, No. 139

| no. | spin magnetization (μB per cell) | E_tot (eV/atom) |
| --- | --- | --- |
| 1 | 0.00 | -4.28 |
| 2 | 2.24 | -3.64 |
| 3 | 1.63 | -4.18 |
| 4 | 0.00 | -6.64 |
| 5 | 1.56 | -3.30 |
| 6 | 2.22 | -3.51 |
| 7 | 0.03 | -4.06 |
| 8 | 0.00 | -4.46 |
| 9 | 0.99 | -6.07 |
| 10 | 2.00 | -6.13 |
| 11 | 1.02 | -2.78 |
| 12 | 0.00 | -3.49 |